Record 1
The following is a GGA-PBE calculation of a relaxed Ac3PrO6 crystal, from Alexandria.

crystal system	trigonal
total energy	-8.00	eV/atom

Cell lengths 7.386, 7.386, 7.386 Å; angles 91.78, 91.78, 91.78 degrees
Fractional coordinates of all 20 atoms:
Ac  0.056  0.562  0.752
Ac  0.248  0.944  0.438
Ac  0.438  0.248  0.944
Ac  0.562  0.752  0.056
Ac  0.752  0.056  0.562
Ac  0.944  0.438  0.248
Pr  0.000  0.000  0.000
Pr  0.500  0.500  0.500
O  0.031  0.901  0.689
O  0.099  0.311  0.969
O  0.190  0.592  0.437
O  0.311  0.969  0.099
O  0.408  0.563  0.810
O  0.437  0.190  0.592
O  0.563  0.810  0.408
O  0.592  0.437  0.190
O  0.689  0.031  0.901
O  0.810  0.408  0.563
O  0.901  0.689  0.031
O  0.969  0.099  0.311

=====

Record 2
The following is a GGA-PBE calculation of a relaxed Ac2Pr4O crystal, from Alexandria.

crystal system	tetragonal
total energy	-5.25	eV/atom

Cell lengths 10.034, 10.034, 10.034 Å; angles 150.55, 150.55, 42.13 degrees
Fractional coordinates of all 7 atoms:
Ac  0.171  0.171  0.000
Ac  0.829  0.829  0.000
Pr  0.000  0.500  0.500
Pr  0.370  0.370  0.000
Pr  0.500  0.000  0.500
Pr  0.630  0.630  0.000
O  0.500  0.500  0.000

=====

Record 3
The following is a GGA-PBE calculation of a relaxed Ac3PrO crystal, from Alexandria.

crystal system	cubic
total energy	-5.48	eV/atom

Cell lengths 5.438, 5.438, 5.438 Å; angles 90.00, 90.00, 90.00 degrees
Fractional coordinates of all 5 atoms:
Ac  0.000  0.000  0.500
Ac  0.000  0.500  0.000
Ac  0.500  0.000  0.000
Pr  0.500  0.500  0.500
O  0.000  0.000  0.000

=====

Record 4
The following is a GGA-PBE calculation of a relaxed Ac6PrO12 crystal, from Alexandria.

crystal system	trigonal
total energy	-7.69	eV/atom

Cell lengths 7.241, 7.241, 7.241 Å; angles 99.40, 99.40, 99.40 degrees
Fractional coordinates of all 19 atoms:
Ac  0.104  0.794  0.638
Ac  0.206  0.362  0.896
Ac  0.362  0.896  0.206
Ac  0.638  0.104  0.794
Ac  0.794  0.638  0.104
Ac  0.896  0.206  0.362
Pr  0.500  0.500  0.500
O  0.059  0.912  0.323
O  0.088  0.677  0.941
O  0.183  0.439  0.566
O  0.323  0.059  0.912
O  0.434  0.817  0.561
O  0.439  0.566  0.183
O  0.561  0.434  0.817
O  0.566  0.183  0.439
O  0.677  0.941  0.088
O  0.817  0.561  0.434
O  0.912  0.323  0.059
O  0.941  0.088  0.677

=====

Record 5
The following is a GGA-PBE calculation of a relaxed AcPr3O6 crystal, from Alexandria.

crystal system	monoclinic
total energy	-8.02	eV/atom

Cell lengths 6.170, 6.402, 10.899 Å; angles 90.00, 124.15, 90.00 degrees
Fractional coordinates of all 20 atoms:
Ac  0.000  0.000  0.000
Ac  0.000  0.500  0.500
Pr  0.222  0.038  0.724
Pr  0.222  0.462  0.224
Pr  0.500  0.000  0.500
Pr  0.500  0.500  0.000
Pr  0.778  0.538  0.776
Pr  0.778  0.962  0.276
O  0.122  0.159  0.461
O  0.122  0.341  0.961
O  0.202  0.697  0.388
O  0.202  0.803  0.888
O  0.416  0.107  0.262
O  0.416  0.393  0.762
O  0.584  0.607  0.238
O  0.584  0.893  0.738
O  0.798  0.197  0.112
O  0.798  0.303  0.612
O  0.878  0.659  0.039
O  0.878  0.841  0.539

=====

Record 6
The following is a GGA-PBE calculation of a relaxed AcPr2PtO8 crystal, from Alexandria.

crystal system	triclinic
total energy	-7.09	eV/atom

Cell lengths 4.435, 5.531, 7.313 Å; angles 90.04, 90.01, 91.78 degrees
Fractional coordinates of all 12 atoms:
Ac  0.000  0.000  0.000
Pr  0.500  0.500  0.249
Pr  0.500  0.500  0.751
Pt  0.000  0.000  0.500
O  0.030  0.748  0.298
O  0.031  0.747  0.702
O  0.420  0.112  0.499
O  0.490  0.254  0.000
O  0.510  0.746  0.000
O  0.580  0.888  0.501
O  0.969  0.253  0.298
O  0.970  0.252  0.702

=====

Record 7
The following is a GGA-PBE calculation of a relaxed AcPrPtO6 crystal, from Alexandria.

crystal system	trigonal
total energy	-6.90	eV/atom

Cell lengths 5.776, 5.776, 10.260 Å; angles 90.00, 90.00, 120.00 degrees
Fractional coordinates of all 18 atoms:
Ac  0.000  0.000  0.000
Ac  0.000  0.000  0.500
Pr  0.333  0.667  0.250
Pr  0.667  0.333  0.750
Pt  0.333  0.667  0.750
Pt  0.667  0.333  0.250
O  0.051  0.382  0.640
O  0.051  0.669  0.860
O  0.331  0.382  0.860
O  0.331  0.949  0.640
O  0.382  0.051  0.140
O  0.382  0.331  0.360
O  0.618  0.669  0.640
O  0.618  0.949  0.860
O  0.669  0.051  0.360
O  0.669  0.618  0.140
O  0.949  0.331  0.140
O  0.949  0.618  0.360

=====

Record 8
The following is a GGA-PBE calculation of a relaxed Ac2PrPtO8 crystal, from Alexandria.

crystal system	trigonal
total energy	-6.77	eV/atom

Cell lengths 5.611, 5.611, 6.572 Å; angles 90.00, 90.00, 120.00 degrees
Fractional coordinates of all 12 atoms:
Ac  0.333  0.667  0.360
Ac  0.667  0.333  0.640
Pr  0.000  0.000  0.000
Pt  0.000  0.000  0.500
O  0.162  0.325  0.684
O  0.162  0.838  0.684
O  0.325  0.162  0.316
O  0.333  0.667  0.029
O  0.667  0.333  0.971
O  0.675  0.838  0.684
O  0.838  0.162  0.316
O  0.838  0.675  0.316